Entry 1:
The following is a DFT calculation (PBE) of an optimized crystal structure of Li2Hg.

Results
- E_form: -7.16 kcal/mol of atoms
- Size of the total moment: 0.00 μB/f.u.

abc: 4.627 5.716 8.139
angles: 90.00 90.00 90.00
Atoms (fractional coordinates):
Li 0.750 0.467 0.743
Li 0.250 0.033 0.243
Li 0.750 0.967 0.757
Li 0.250 0.533 0.257
Li 0.750 0.312 0.080
Li 0.250 0.188 0.580
Li 0.750 0.812 0.420
Li 0.250 0.688 0.920
Hg 0.750 0.802 0.086
Hg 0.250 0.698 0.586
Hg 0.750 0.302 0.414
Hg 0.250 0.198 0.914


Entry 2:
The following is a DFT calculation (PBE) of an optimized crystal structure of CeBeSiNi6.

Results
- Formation energy without anion corrections: -0.160 eV/atom
- Size of the total moment: 0.00 μB/f.u.

abc: 6.231 7.468 7.035
angles: 122.06 116.29 90.00
Atoms (fractional coordinates):
Ce 0.712 0.462 0.424
Ce 0.288 0.538 0.576
Be 0.500 0.500 0.000
Be 0.500 0.000 0.000
Si 0.500 0.000 0.500
Si 0.000 0.000 0.500
Ni 0.593 0.843 0.186
Ni 0.016 0.266 0.033
Ni 0.913 0.110 0.237
Ni 0.324 0.627 0.237
Ni 0.324 0.110 0.237
Ni 0.913 0.627 0.237
Ni 0.407 0.157 0.814
Ni 0.984 0.734 0.967
Ni 0.087 0.890 0.763
Ni 0.676 0.373 0.763
Ni 0.676 0.890 0.763
Ni 0.087 0.373 0.763


Entry 3:
The following is a DFT calculation (PBE) of an optimized crystal structure of GeSbPt4.

Results
- Formation energy without anion corrections: -0.232 eV/atom
- Size of the total moment: 0.00 μB/f.u.

abc: 6.212 5.426 7.042
angles: 90.03 116.17 90.00
Atoms (fractional coordinates):
Ge 0.500 0.000 0.500
Ge 0.000 0.500 0.500
Sb 0.843 0.750 0.000
Sb 0.157 0.250 0.000
Pt 0.442 0.125 0.805
Pt 0.636 0.375 0.195
Pt 0.558 0.875 0.195
Pt 0.364 0.625 0.805
Pt 0.937 0.908 0.663
Pt 0.274 0.592 0.337
Pt 0.063 0.092 0.337
Pt 0.726 0.408 0.663


Q: Number 1 is which compound?
A: Li2Hg